Record 1
Compound: Ti5Ga2H2
Source: Alexandria
Functional: PBE-GGA
Structure: relaxed

Output
final energy	-6.040	eV/atom
energy above the lowest structure with this stoichiometry	154	meV/atom
calculated volume	506	Å³ per cell
magnetization	0.012	μB per atom

a b c (Å): 13.6401 6.8165 5.4469
angles (deg): 90.00 90.00 90.00
With the nearest neighbours (Å) after each atom.
Space group Ima2 (No. 46)
Inequivalent atoms, fractional coordinates:
Ti (0.0415, 0.2499, 0.0000)  2 H 2.25-2.26
Ti (0.1452, 0.5530, 0.2501)  2 H 1.90-2.01
Ti (0.2500, 0.1778, 0.2449)  2 H 1.89-1.99
Ga (0.1016, 0.5684, 0.7489)  8 Ti 2.63-2.80, 1 H 2.90, 1 Ga 2.92
H (0.0000, 0.0000, 0.7519)  4 Ti 2.01-2.25
H (0.2500, 0.0751, 0.5861)  4 Ti 1.89-1.99

***

Record 2
Compound: Ti3GaH
Source: Alexandria
Functional: PBE-GGA
Structure: relaxed

Output
final energy	-6.277	eV/atom
calculated volume	277	Å³ per cell
magnetization	0.000	μB per atom

a b c (Å): 7.7703 5.1931 7.2504
angles (deg): 90.00 108.67 90.00
With the nearest neighbours (Å) after each atom.
Space group P2_1/c (No. 14)
Inequivalent atoms, fractional coordinates:
Ti (0.0282, 0.1121, 0.3310)  3 H 2.05-2.12
Ti (0.1940, 0.5284, 0.5544)  1 H 1.97
Ti (0.3856, 0.1191, 0.7852)  1 H 1.99
Ga (0.3599, 0.6294, 0.9152)  1 Ga 2.52, 6 Ti 2.57-2.80
H (0.1278, 0.1897, 0.6341)  5 Ti 1.97-2.12

***

Record 3
Compound: Ti3GaH
Source: Alexandria
Functional: PBE-GGA
Structure: relaxed

Output
final energy	-6.388	eV/atom
calculated volume	267	Å³ per cell
magnetization	0.000	μB per atom

a b c (Å): 5.8597 11.7925 3.8646
angles (deg): 90.00 90.00 90.00
With the nearest neighbours (Å) after each atom.
Space group Cmmm (No. 65)
Inequivalent atoms, fractional coordinates:
Ti (0.0000, 0.1242, 0.0000)  2 H 1.93
Ti (0.2360, 0.5000, 0.5000)  2 H 2.16
Ti (0.2500, 0.2500, 0.5000)  2 H 2.05
Ga (0.0000, 0.3694, 0.0000)  11 Ti 2.80-2.93, 1 Ga 3.08
H (0.0000, 0.1280, 0.5000)  6 Ti 1.93-2.16

***

Record 4
Compound: Ti3Ga2H
Source: Alexandria
Functional: PBE-GGA
Structure: relaxed

Output
final energy	-5.805	eV/atom
calculated volume	340	Å³ per cell
magnetization	0.000	μB per atom

a b c (Å): 12.7025 5.0062 5.4333
angles (deg): 90.00 100.08 90.00
With the nearest neighbours (Å) after each atom.
Space group C2/c (No. 15)
Inequivalent atoms, fractional coordinates:
Ti (0.0000, 0.0328, 0.2500)  1 H 1.87
Ti (0.1156, 0.4479, 0.6274)  1 H 1.86
Ga (0.1894, 0.0454, 0.0296)  3 Ga 2.62-2.75, 6 Ti 2.64-2.87
H (0.0000, 0.4073, 0.2500)  3 Ti 1.86-1.87

***

Record 5
Compound: Ti3GaH
Source: Alexandria
Functional: PBE-GGA
Structure: relaxed

Output
final energy	-6.386	eV/atom
calculated volume	136	Å³ per cell
magnetization	0.000	μB per atom

a b c (Å): 4.5638 5.3192 5.7018
angles (deg): 80.43 89.57 89.96
With the nearest neighbours (Å) after each atom.
Space group P-1 (No. 2)
Inequivalent atoms, fractional coordinates:
Ti (0.2322, 0.3374, 0.4363)  2 H 1.90-1.91
Ti (0.2401, 0.8715, 0.2532)  1 H 1.85
Ti (0.2438, 0.3460, 0.9450)  1 H 1.90
Ga (0.2563, 0.8517, 0.7681)  11 Ti 2.69-2.97, 1 H 2.80
H (0.4987, 0.3947, 0.6756)  4 Ti 1.85-1.91

***

Record 6
Compound: Ti3GaH
Source: Alexandria
Functional: PBE-GGA
Structure: relaxed

Output
final energy	-6.391	eV/atom
calculated volume	137	Å³ per cell
magnetization	0.000	μB per atom

a b c (Å): 5.3414 4.5601 5.7096
angles (deg): 90.00 100.67 90.00
With the nearest neighbours (Å) after each atom.
Space group Pm (No. 6)
Inequivalent atoms, fractional coordinates:
Ti (0.0000, 0.0000, 0.0000)  2 H 1.89
Ti (0.0019, 0.0000, 0.4730)  2 H 1.92
Ti (0.3043, 0.5000, 0.3491)  4 Ga 2.67-2.95, 7 Ti 2.79-2.96
Ti (0.3329, 0.5000, 0.8661)  2 H 1.89
Ti (0.5226, 0.0000, 0.1655)  4 Ga 2.71-2.93, 7 Ti 2.78-2.92
Ti (0.7850, 0.5000, 0.6768)  2 H 1.84
Ga (0.5111, 0.0000, 0.6497)  11 Ti 2.70-2.98, 2 H 2.83
Ga (0.8005, 0.5000, 0.1931)  11 Ti 2.67-2.95
H (0.0569, 0.2473, 0.7493)  4 Ti 1.84-1.92

***

Record 7
Compound: Ti3GaH
Source: Alexandria
Functional: PBE-GGA
Structure: relaxed

Output
final energy	-6.409	eV/atom
calculated volume	267	Å³ per cell
magnetization	0.000	μB per atom

a b c (Å): 3.9586 3.9586 17.0650
angles (deg): 90.00 90.00 90.00
With the nearest neighbours (Å) after each atom.
Space group I4mm (No. 107)
Inequivalent atoms, fractional coordinates:
Ti (0.0000, 0.0000, 0.0000)  1 H 2.11
Ti (0.0000, 0.0000, 0.2467)  1 H 1.85
Ti (0.0000, 0.5000, 0.1245)  2 H 1.98
Ti (0.0000, 0.5000, 0.3733)  2 H 2.00
Ga (0.0000, 0.0000, 0.5019)  1 H 2.51, 4 Ti 2.80
Ga (0.0000, 0.0000, 0.7486)  12 Ti 2.80-2.91
H (0.0000, 0.0000, 0.1236)  6 Ti 1.98-2.11
H (0.0000, 0.0000, 0.3550)  5 Ti 1.85-2.00

***

Record 8
Compound: Ti3GaH
Source: Alexandria
Functional: PBE-GGA
Structure: relaxed

Output
final energy	-6.303	eV/atom
calculated volume	566	Å³ per cell
magnetization	0.000	μB per atom

a b c (Å): 10.1726 9.4169 6.2076
angles (deg): 90.00 107.90 90.00
With the nearest neighbours (Å) after each atom.
Space group C2/c (No. 15)
Inequivalent atoms, fractional coordinates:
Ti (0.1505, 0.1762, 0.0553)  2 H 1.89-2.10
Ti (0.1639, 0.1726, 0.5931)  1 H 2.13
Ti (0.1638, 0.4941, 0.5880)  2 H 2.10-2.27
Ga (0.0000, 0.0082, 0.2500)  8 Ti 2.68-2.76
Ga (0.0000, 0.3388, 0.2500)  8 Ti 2.68-2.75
H (0.1550, 0.3373, 0.8227)  3 Ti 1.89-2.10

***

What did the seventh record say?
Compound: Ti3GaH
Source: Alexandria
Functional: PBE-GGA
Structure: relaxed

Output
final energy	-6.409	eV/atom
calculated volume	267	Å³ per cell
magnetization	0.000	μB per atom

a b c (Å): 3.9586 3.9586 17.0650
angles (deg): 90.00 90.00 90.00
With the nearest neighbours (Å) after each atom.
Space group I4mm (No. 107)
Inequivalent atoms, fractional coordinates:
Ti (0.0000, 0.0000, 0.0000)  1 H 2.11
Ti (0.0000, 0.0000, 0.2467)  1 H 1.85
Ti (0.0000, 0.5000, 0.1245)  2 H 1.98
Ti (0.0000, 0.5000, 0.3733)  2 H 2.00
Ga (0.0000, 0.0000, 0.5019)  1 H 2.51, 4 Ti 2.80
Ga (0.0000, 0.0000, 0.7486)  12 Ti 2.80-2.91
H (0.0000, 0.0000, 0.1236)  6 Ti 1.98-2.11
H (0.0000, 0.0000, 0.3550)  5 Ti 1.85-2.00

***

Q: The lowest calculated volume belongs to which entry?
A: number 5

***

Q: What is the magnetization in the first record?
A: 0.012 μB per atom